1.
InAsIO2: relaxed, PBEsol.

Cell lengths 4.0928, 4.0928, 6.3458 Å; angles 90.00, 90.00, 90.00 degrees
Space group P4/mmm (No. 123)
Symmetry-distinct sites (fractional):
In 0.0000 0.0000 0.0000
As 0.5000 0.5000 0.5000
I 0.0000 0.0000 0.5000
O 0.0000 0.5000 0.0000

- formation energy (no corrections) (eV per atom) = 0.033
- Fermi-level density of states (states/eV per cell) = 3.196

***

2.
BaCa3Be: relaxed, PBEsol.

Cell lengths 5.7569, 5.7569, 5.7569 Å; angles 90.00, 90.00, 90.00 degrees
Space group Pm-3m (No. 221)
Symmetry-distinct sites (fractional):
Ba 0.0000 0.0000 0.0000
Ca 0.0000 0.5000 0.5000
Be 0.5000 0.5000 0.5000

- Fermi-level density of states (states/eV per cell) = 6.609
- formation energy from the elements (eV per atom) = 0.22

***

3.
FeCoBr2: relaxed, PBEsol.

Cell lengths 3.3886, 3.7902, 5.7078 Å; angles 90.00, 94.39, 90.00 degrees
Space group P2/m (No. 10)
Symmetry-distinct sites (fractional):
Fe 0.0000 0.0000 0.0000
Co 0.5000 0.0000 0.5000
Br 0.2496 0.5000 0.2537

- E above lowest polymorph (eV per atom) = 0.000
- formation energy (no corrections) (eV per atom) = 0.631
- Fermi-level density of states (states/eV per cell) = 5.895

***

4.
KTaAs2: relaxed, PBEsol.

Cell lengths 3.3435, 6.5725, 9.3592 Å; angles 90.00, 90.00, 90.00 degrees
Space group Immm (No. 71)
Symmetry-distinct sites (fractional):
K 0.0000 0.0000 0.0000
Ta 0.0000 0.0000 0.5000
As 0.0000 0.5000 0.2021

- E above lowest polymorph (eV per atom) = 0.491
- Fermi-level density of states (states/eV per cell) = 5.392
- formation energy from the elements (eV per atom) = 0.22

***

> Among the records above, which one has the highest Fermi-level density of states?

BaCa3Be

***

Repeat the third record exactly.
FeCoBr2: relaxed, PBEsol.

Cell lengths 3.3886, 3.7902, 5.7078 Å; angles 90.00, 94.39, 90.00 degrees
Space group P2/m (No. 10)
Symmetry-distinct sites (fractional):
Fe 0.0000 0.0000 0.0000
Co 0.5000 0.0000 0.5000
Br 0.2496 0.5000 0.2537

- E above lowest polymorph (eV per atom) = 0.000
- formation energy (no corrections) (eV per atom) = 0.631
- Fermi-level density of states (states/eV per cell) = 5.895

***

> Look up the Fermi-level density of states of the first one.

3.196 states/eV per cell